No. 1
# PaTiSe2

PaTiSe2 after structural relaxation (PBE-GGA, Alexandria via LeMat-Bulk).

Summary:
For the density of states at the Fermi level, the calculation gives 4.29 states/eV per cell. Its calculated volume is 116.0 Å³ per cell. Its uncorrected formation energy is -706 meV per atom. The calculation puts the total magnetization at 2.7 μB per formula unit.

Lattice parameters (Å, degrees): 4.0278 4.0280 8.5946 76.08 76.00 60.01
Last column: magnetic moment on the atom in μB.
Atoms (fractional coordinates):
Pa 0.7128 0.1572 0.7646  0.96
Ti 0.2915 0.7374 0.0166  1.17
Se 0.5844 0.0309 0.1336  -0.03
Se 0.1158 0.5591 0.5637  -0.01



No. 2
# Pa2TiSe4

Pa2TiSe4 after structural relaxation (PBE-GGA, Alexandria via LeMat-Bulk).

Summary:
For the density of states at the Fermi level, the calculation gives 9.71 states/eV per cell. Its calculated volume is 165.6 Å³ per cell. Its uncorrected formation energy is -1171 meV per atom. The calculation puts the total magnetization at 0.5 μB per formula unit.

Lattice parameters (Å, degrees): 3.7030 6.5639 7.7303 114.06 103.86 90.00
Last column: magnetic moment on the atom in μB.
Atoms (fractional coordinates):
Se 0.6063 0.2825 0.2125  0.00
Pa 0.7495 0.7511 0.4989  0.09
Pa 0.2505 0.2489 0.5011  0.09
Se 0.3937 0.7175 0.7875  0.00
Ti 0.0000 0.0000 0.0000  0.24
Se 0.8903 0.2153 0.7806  -0.01
Se 0.1097 0.7847 0.2194  -0.01



No. 3
# PaTiSe2

PaTiSe2 after structural relaxation (PBE-GGA, Alexandria via LeMat-Bulk).

Summary:
For the density of states at the Fermi level, the calculation gives 5.17 states/eV per cell. Its calculated volume is 83.3 Å³ per cell. Its uncorrected formation energy is -1032 meV per atom. The calculation puts the total magnetization at 0.0 μB per formula unit.

Lattice parameters (Å, degrees): 3.7192 3.7192 7.2777 75.20 75.20 60.00
Atoms (fractional coordinates):
Se 0.0708 0.0708 0.7876
Pa 0.4966 0.4966 0.5101
Se 0.2601 0.2601 0.2198
Ti 0.6725 0.6725 0.9826



No. 4
# PaTiSe2

PaTiSe2 after structural relaxation (PBE-GGA, Alexandria via LeMat-Bulk).

Summary:
For the density of states at the Fermi level, the calculation gives 5.00 states/eV per cell. Its calculated volume is 78.3 Å³ per cell. Its uncorrected formation energy is -845 meV per atom. The calculation puts the total magnetization at 0.4 μB per formula unit.

Lattice parameters (Å, degrees): 3.4015 3.4015 6.7666 90.00 90.00 90.00
Last column: magnetic moment on the atom in μB.
Atoms (fractional coordinates):
Pa 0.5000 0.5000 0.5000  0.34
Se 0.0000 0.0000 0.7659  -0.01
Se 0.0000 0.0000 0.2341  -0.01
Ti 0.5000 0.5000 0.0000  0.00